Entry 1:
LiCaTc2: relaxed, PBE.

Values from the calculation:
V = 67.6 Å³ per cell
Energy = -22.86 eV/cell
Density of states at the Fermi level = 2.8 states/eV/cell
Symmetry = P4/mmm (123)
Energy of formation = 0.4480 eV/atom
Offset from the most stable computed form = 226 meV/atom

Geometry as CIF:
```
data_LiCaTc2
_symmetry_space_group_name_H-M 'P 1'
_symmetry_Int_Tables_number 1
_cell_length_a 3.711
_cell_length_b 3.711
_cell_length_c 4.913
_cell_angle_alpha 90.00
_cell_angle_beta 90.00
_cell_angle_gamma 90.00
loop_
_symmetry_equiv_pos_as_xyz
'x,y,z'
loop_
_atom_site_label
_atom_site_type_symbol
_atom_site_fract_x
_atom_site_fract_y
_atom_site_fract_z
Li1 Li 0.000 0.000 0.000
Ca1 Ca 0.500 0.500 0.000
Tc1 Tc 0.000 0.500 0.500
Tc2 Tc 0.500 0.000 0.500
```

Entry 2:
NaTlGa2Co: relaxed, PBE.

Values from the calculation:
V = 108.5 Å³ per cell
Energy = -17.12 eV/cell
Density of states at the Fermi level = 2.8 states/eV/cell
Symmetry = P4/mmm (123)
Energy of formation = -0.0555 eV/atom

Geometry as CIF:
```
data_NaTlGa2Co
_symmetry_space_group_name_H-M 'P 1'
_symmetry_Int_Tables_number 1
_cell_length_a 4.634
_cell_length_b 4.634
_cell_length_c 5.053
_cell_angle_alpha 90.00
_cell_angle_beta 90.00
_cell_angle_gamma 90.00
loop_
_symmetry_equiv_pos_as_xyz
'x,y,z'
loop_
_atom_site_label
_atom_site_type_symbol
_atom_site_fract_x
_atom_site_fract_y
_atom_site_fract_z
Na1 Na 0.000 0.000 0.000
Tl1 Tl 0.500 0.500 0.000
Ga1 Ga 0.000 0.500 0.500
Ga2 Ga 0.500 0.000 0.500
Co1 Co 0.500 0.500 0.500
```

Entry 3:
PmNdDy6: relaxed, PBE.

Values from the calculation:
V = 284.3 Å³ per cell
Energy = -34.20 eV/cell
Density of states at the Fermi level = 11.3 states/eV/cell
Symmetry = C2/m (12)
Energy of formation = 0.3660 eV/atom
Offset from the most stable computed form = 346 meV/atom

Geometry as CIF:
```
data_PmNdDy6
_symmetry_space_group_name_H-M 'P 1'
_symmetry_Int_Tables_number 1
_cell_length_a 6.098
_cell_length_b 6.098
_cell_length_c 8.533
_cell_angle_alpha 102.07
_cell_angle_beta 102.07
_cell_angle_gamma 67.83
loop_
_symmetry_equiv_pos_as_xyz
'x,y,z'
loop_
_atom_site_label
_atom_site_type_symbol
_atom_site_fract_x
_atom_site_fract_y
_atom_site_fract_z
Pm1 Pm 0.000 0.000 0.000
Nd1 Nd 0.000 0.000 0.500
Dy1 Dy 0.063 0.542 0.200
Dy2 Dy 0.374 0.374 0.576
Dy3 Dy 0.458 0.937 0.800
Dy4 Dy 0.542 0.063 0.200
Dy5 Dy 0.626 0.626 0.424
Dy6 Dy 0.937 0.458 0.800
```

The highest V belongs to which entry? PmNdDy6

density of states at the Fermi level of number 2 (NaTlGa2Co)? 2.8 states/eV/cell

Look up the V of the third one. 284.3 Å³ per cell